Density functional theory data (GGA-PBE) for crystalline Ta2PbO6 at its relaxed geometry.

Geometry as extended XYZ:
```
36
Lattice="-2.759 -4.949 0.948 2.467 0.029 7.327 -9.165 5.697 3.063" Properties=species:S:1:pos:R:3 pbc="T T T"
O -4.953 1.788 7.779
O -6.059 4.746 8.140
Ta -3.522 -0.591 5.239
Ta -0.159 0.661 4.158
O -1.834 -0.467 4.327
O -4.375 -0.539 9.358
O -1.050 -3.742 4.722
O -5.442 -0.551 6.188
Ta -4.720 1.383 9.714
O 0.017 -3.729 7.892
Ta -4.738 -0.605 1.625
Ta -5.936 1.368 6.100
O -5.083 1.316 1.981
O -3.580 -2.572 5.665
O -4.505 -1.011 3.560
O -8.408 4.519 6.617
O -4.016 1.329 5.151
Ta -10.515 0.102 3.567
O -2.697 -0.292 7.028
O -6.614 1.256 10.009
O -2.571 -2.560 8.663
O -9.747 0.656 5.318
O -3.399 -3.969 3.199
Pb -8.261 3.227 8.887
Ta 1.057 0.676 7.772
Pb -2.507 2.478 6.953
Pb -6.951 -1.700 4.386
O 0.289 0.121 6.021
O -2.844 -0.479 1.330
Ta -9.299 0.116 7.181
O -6.887 3.337 2.676
O -5.878 3.349 5.674
O -6.761 1.069 4.311
O -9.475 4.506 3.447
O -7.624 1.244 7.011
Pb -1.197 -2.450 2.452
```

Its total magnetization is 0.0000 μB per atom. Its energy relative to the elements, uncorrected is -2.537 eV/atom. As for the density of states at the Fermi level: 0.000 states/eV per cell. Its electronic total energy is -320.00 eV per cell. As for the polymorph energy (0 for the lowest one): 0.0 meV/atom.